# 1
7
Lattice="4.873 0.000 0.000 0.000 4.873 0.000 2.436 2.436 7.573" Properties=species:S:1:pos:R:3 comment="La2AlGe4 (PBE-GGA, relaxed)" n_ef_per_ev_fu=4.494 dft_energy_ev_per_cell=-34.0 pbc="T T T"
Al 0.000 0.000 0.000
Ge 4.873 4.873 2.492
La 4.873 4.873 5.521
Ge 2.436 0.000 0.000
Ge 0.000 2.436 0.000
La 2.436 2.436 2.051
Ge 2.436 2.436 5.081

***

# 2
10
Lattice="7.320 0.000 0.000 0.000 7.320 0.000 0.000 0.000 3.114" Properties=species:S:1:pos:R:3 comment="CdGa2Pd2 (PBE-GGA, relaxed)" relative_energy_mev_per_atom=0.0 n_ef_per_ev_fu=1.008 dft_energy_ev_per_cell=-39.3 pbc="T T T"
Pd 4.729 1.069 0.000
Cd 0.000 0.000 0.000
Ga 4.756 6.224 1.557
Cd 3.660 3.660 0.000
Pd 1.069 2.591 0.000
Ga 2.564 1.096 1.557
Pd 6.251 4.729 0.000
Ga 1.096 4.756 1.557
Pd 2.591 6.251 0.000
Ga 6.224 2.564 1.557

***

# 3
5
Lattice="-1.889 -1.479 4.926 4.681 -2.668 0.994 2.027 4.330 2.077" Properties=species:S:1:pos:R:3 comment="SiSbTe2As (PBE-GGA, relaxed)" relative_energy_mev_per_atom=154.8 n_ef_per_ev_fu=4.293 raw_formation_energy_mev_per_atom=868 dft_energy_ev_per_cell=-16.1 pbc="T T T"
Sb 1.013 2.165 1.038
Te -0.944 -0.739 2.463
Si 2.410 0.091 3.999
As 0.000 0.000 0.000
Te 2.341 -1.334 0.497

***

What is the formula in the third record?
SiSbTe2As